Material: PIrAu
Method: DFT, PBE
State: relaxed

Structure (CIF):
```
data_PIrAu
_space_group_name_H-M_alt 'P 1'
_space_group_IT_number 1
_cell_length_a 3.448
_cell_length_b 3.711
_cell_length_c 4.961
_cell_angle_alpha 103.52
_cell_angle_beta 90.08
_cell_angle_gamma 117.62
loop_
_space_group_symop_operation_xyz
'x,y,z'
loop_
_atom_site_label
_atom_site_fract_x
_atom_site_fract_y
_atom_site_fract_z
Au1 0.700 0.741 0.793
P1 0.819 0.980 0.376
Ir1 0.463 0.267 0.202
```

Crystal system: triclinic
Density, g/cm³: 12.86
Distance to the lowest polymorph of the same formula, kJ/mol of atoms: 6.9